Record 1
This record from Alexandria describes a relaxed LiNdHoIr crystal. The functional is PBE.

a = 7.0605 Å, b = 7.0605 Å, c = 7.0605 Å
α = 90.00°, β = 90.00°, γ = 90.00°
Space group F-43m (No. 216)
Unique sites:
Li1 0.0000 0.0000 0.0000
Nd1 0.2500 0.2500 0.7500
Ho1 0.2500 0.2500 0.2500
Ir1 0.0000 0.0000 0.5000

Properties
crystal system = cubic
V = 352 Å³ per cell
Fermi-level density of states = 11.69 states/eV/cell
energy of formation from the pure elements = -0.49 eV/atom


Record 2
This record from Alexandria describes a relaxed LiHoNiIr crystal. The functional is PBE.

a = 6.2699 Å, b = 6.2699 Å, c = 6.2699 Å
α = 90.00°, β = 90.00°, γ = 90.00°
Space group F-43m (No. 216)
Unique sites:
Li1 0.0000 0.0000 0.0000
Ho1 0.2500 0.2500 0.7500
Ni1 0.0000 0.0000 0.5000
Ir1 0.2500 0.2500 0.2500

Properties
crystal system = cubic
V = 246 Å³ per cell
Fermi-level density of states = 19.13 states/eV/cell
energy of formation from the pure elements = -0.29 eV/atom


Record 3
This record from Alexandria describes a relaxed LiHo2IrO6 crystal. The functional is PBE.

a = 5.4889 Å, b = 5.4889 Å, c = 14.3914 Å
α = 90.00°, β = 90.00°, γ = 120.00°
Space group R3 (No. 146, hexagonal axes)
Unique sites:
Li1 0.0000 0.0000 0.0000
Ho1 0.0000 0.0000 0.2688
Ho2 0.0000 0.0000 0.7751
Ir1 0.0000 0.0000 0.4765
O1 0.0041 0.3857 0.2166
O2 0.0637 0.6983 0.0564

Properties
crystal system = trigonal
V = 376 Å³ per cell
uncorrected formation energy = -2.31 eV per atom
Fermi-level density of states = 16.51 states/eV/cell


Record 4
This record from Alexandria describes a relaxed LiHoP2Ir5 crystal. The functional is PBE.

a = 4.0482 Å, b = 4.0482 Å, c = 9.4161 Å
α = 90.00°, β = 90.00°, γ = 90.00°
Space group P4/mmm (No. 123)
Unique sites:
Li1 0.0000 0.0000 0.0000
Ho1 0.0000 0.0000 0.5000
P1 0.5000 0.5000 0.2596
Ir1 0.0000 0.5000 0.1480
Ir2 0.5000 0.5000 0.5000

Properties
crystal system = tetragonal
V = 154 Å³ per cell
Fermi-level density of states = 6.21 states/eV/cell
energy of formation from the pure elements = -0.31 eV/atom